Entry 1:
Ga2SiPb2: relaxed, PBE.

formation energy from raw total energies: 0.18 eV per atom
energy above the most stable polymorph in this dataset: 0 meV/atom
total DFT energy (no corrections): -3.597 eV per atom

Cell: 6.6326 6.6326 5.4814 Å, 90.00 90.00 90.00°
Space group P4/mbm (No. 127)
One atom of each set of equivalent atoms:
Ga: 0.1378 0.3622 0.0000 (multiplicity 4)
Si: 0.0000 0.0000 0.0000 (multiplicity 2)
Pb: 0.1943 0.6943 0.5000 (multiplicity 4)


Entry 2:
CsHoSiSe4: relaxed, PBE.

formation energy from raw total energies: -1.24 eV per atom
total DFT energy (no corrections): -4.781 eV per atom

Cell: 6.6551 7.0670 9.8365 Å, 90.00 108.75 90.00°
Space group P2_1/m (No. 11)
One atom of each set of equivalent atoms:
Cs: 0.2456 0.2500 0.4403 (multiplicity 2)
Ho: 0.2739 0.2500 0.9534 (multiplicity 2)
Si: 0.2812 0.7500 0.1593 (multiplicity 2)
Se: 0.0664 0.7500 0.9278 (multiplicity 2)
Se: 0.0849 0.7500 0.3101 (multiplicity 2)
Se: 0.4878 0.5024 0.8045 (multiplicity 4)


Entry 3:
LiZr2Ir: relaxed, PBE.

ΔE_f: -216 meV per atom
energy above the most stable polymorph in this dataset: 251 meV/atom
total DFT energy (no corrections): -7.184 eV per atom

Cell: 3.0107 3.0107 9.0330 Å, 90.00 90.00 90.00°
Space group P4/mmm (No. 123)
One atom of each set of equivalent atoms:
Li: 0.0000 0.0000 0.0000 (multiplicity 1)
Zr: 0.5000 0.5000 0.2920 (multiplicity 2)
Ir: 0.0000 0.0000 0.5000 (multiplicity 1)


Entry 4:
LiErBeGa: relaxed, PBE.

ΔE_f: -162 meV per atom
total DFT energy (no corrections): -3.469 eV per atom

Cell: 6.2965 6.2965 6.2965 Å, 90.00 90.00 90.00°
Space group F-43m (No. 216)
One atom of each set of equivalent atoms:
Li: 0.0000 0.0000 0.0000 (multiplicity 4)
Er: 0.2500 0.2500 0.7500 (multiplicity 4)
Be: 0.0000 0.0000 0.5000 (multiplicity 4)
Ga: 0.2500 0.2500 0.2500 (multiplicity 4)


Entry 5:
TaSbPtI2: relaxed, PBE.

formation energy from raw total energies: 0.97 eV per atom
energy above the most stable polymorph in this dataset: 0 meV/atom
total DFT energy (no corrections): -4.058 eV per atom

Cell: 5.2907 5.2907 5.5779 Å, 90.00 90.00 90.00°
Space group P4/mmm (No. 123)
One atom of each set of equivalent atoms:
Ta: 0.0000 0.0000 0.0000 (multiplicity 1)
Sb: 0.0000 0.0000 0.5000 (multiplicity 1)
Pt: 0.5000 0.5000 0.5000 (multiplicity 1)
I: 0.0000 0.5000 0.0000 (multiplicity 2)


Entry 6:
PmErZnTc: relaxed, PBE.

ΔE_f: -103 meV per atom
total DFT energy (no corrections): -5.342 eV per atom

Cell: 7.0250 7.0250 7.0250 Å, 90.00 90.00 90.00°
Space group F-43m (No. 216)
One atom of each set of equivalent atoms:
Pm: 0.0000 0.0000 0.0000 (multiplicity 4)
Er: 0.0000 0.0000 0.5000 (multiplicity 4)
Zn: 0.2500 0.2500 0.7500 (multiplicity 4)
Tc: 0.2500 0.2500 0.2500 (multiplicity 4)


Entry 7:
Mn5Cr2SiOs2: relaxed, PBE.

formation energy from raw total energies: 0.22 eV per atom
total DFT energy (no corrections): -9.076 eV per atom

Cell: 9.1959 9.1959 2.8442 Å, 90.00 90.00 90.00°
Space group P4/mbm (No. 127)
One atom of each set of equivalent atoms:
Mn: 0.0000 0.5000 0.0000 (multiplicity 2)
Mn: 0.0613 0.1900 0.0000 (multiplicity 8)
Cr: 0.1318 0.3682 0.5000 (multiplicity 4)
Si: 0.0000 0.0000 0.5000 (multiplicity 2)
Os: 0.1759 0.6759 0.5000 (multiplicity 4)


Entry 8:
K2SrBr: relaxed, PBE.

formation energy from raw total energies: -0.73 eV per atom
energy above the most stable polymorph in this dataset: 45 meV/atom
total DFT energy (no corrections): -2.120 eV per atom

Cell: 5.3851 6.2834 11.4624 Å, 90.00 90.00 90.00°
Space group Cmmm (No. 65)
One atom of each set of equivalent atoms:
K: 0.0000 0.0000 0.1741 (multiplicity 4)
Sr: 0.0000 0.5000 0.5000 (multiplicity 2)
Br: 0.0000 0.5000 0.0000 (multiplicity 2)


Entry 9:
Ba2ZnPtPb: relaxed, PBE.

ΔE_f: -446 meV per atom
total DFT energy (no corrections): -3.419 eV per atom

Cell: 6.1316 6.1316 4.8923 Å, 90.00 90.00 90.00°
Space group P4/mmm (No. 123)
One atom of each set of equivalent atoms:
Ba: 0.0000 0.5000 0.0000 (multiplicity 2)
Zn: 0.0000 0.0000 0.5000 (multiplicity 1)
Pt: 0.0000 0.0000 0.0000 (multiplicity 1)
Pb: 0.5000 0.5000 0.5000 (multiplicity 1)